# 1
First-principles (PBE) data for crystalline LiSm2Ag6 at its relaxed geometry, as listed in the Alexandria database.

Unit cell a=3.246 b=8.382 c=8.382 alpha=60.00 beta=89.92 gamma=89.92
Fractional coordinates of all 9 atoms:
Ag: 0.500 0.671 0.329
Li: 0.000 0.000 0.000
Ag: 0.499 0.000 0.671
Sm: 0.000 0.333 0.333
Ag: 0.500 0.329 0.671
Ag: 0.499 0.671 0.000
Ag: 0.501 0.329 0.000
Ag: 0.501 0.000 0.329
Sm: 0.000 0.667 0.667

Calculated values
space-group type = C2/m (12)
density = 8.0 Mg/m³
N(E_F) = 0.612 states/eV per atom
ΔH_f (0 K) = -0.15 eV per atom
calculated volume = 21.94 Å³ per atom

---

# 2
First-principles (PBE) data for crystalline Li2Sm2Ag3 at its relaxed geometry, as listed in the Alexandria database.

Unit cell a=3.861 b=3.309 c=11.949 alpha=90.00 beta=80.70 gamma=90.00
Fractional coordinates of all 7 atoms:
Li: 0.284 0.500 0.432
Li: 0.716 0.500 0.568
Sm: 0.418 0.500 0.164
Ag: 0.168 0.000 0.664
Ag: 0.000 0.000 0.000
Ag: 0.832 0.000 0.336
Sm: 0.582 0.500 0.836

Calculated values
space-group type = Cmmm (65)
density = 7.0 Mg/m³
N(E_F) = 0.727 states/eV per atom
ΔH_f (0 K) = -0.17 eV per atom
calculated volume = 21.52 Å³ per atom

---

# 3
First-principles (PBE) data for crystalline Li2Sm3Ag9 at its relaxed geometry, as listed in the Alexandria database.

Unit cell a=4.575 b=8.529 c=8.529 alpha=71.82 beta=74.44 gamma=74.44
Fractional coordinates of all 14 atoms:
Ag: 0.000 0.500 0.500
Li: 0.500 0.683 0.317
Ag: 0.346 0.017 0.291
Sm: 0.000 0.000 0.000
Li: 0.500 0.317 0.683
Ag: 0.346 0.291 0.017
Ag: 0.132 0.582 0.155
Sm: 0.288 0.712 0.712
Ag: 0.132 0.155 0.582
Ag: 0.868 0.418 0.845
Ag: 0.868 0.845 0.418
Sm: 0.712 0.288 0.288
Ag: 0.654 0.709 0.983
Ag: 0.654 0.983 0.709

Calculated values
space-group type = Immm (71)
density = 8.0 Mg/m³
N(E_F) = 0.587 states/eV per atom
ΔH_f (0 K) = -0.19 eV per atom
calculated volume = 21.31 Å³ per atom

---

# 4
First-principles (PBE) data for crystalline Li2Sm3Ag3 at its relaxed geometry, as listed in the Alexandria database.

Unit cell a=3.612 b=5.199 c=10.797 alpha=103.93 beta=99.63 gamma=90.00
Fractional coordinates of all 8 atoms:
Sm: 0.500 0.000 0.000
Li: 0.266 0.766 0.532
Ag: 0.131 0.131 0.262
Sm: 0.627 0.627 0.255
Ag: 0.869 0.869 0.738
Sm: 0.373 0.373 0.745
Ag: 0.000 0.500 0.000
Li: 0.734 0.234 0.468

Calculated values
space-group type = Immm (71)
density = 6.8 Mg/m³
N(E_F) = 0.723 states/eV per atom
ΔH_f (0 K) = -0.16 eV per atom
calculated volume = 24.23 Å³ per atom

---

# 5
First-principles (PBE) data for crystalline Li5Sm2Ag12 at its relaxed geometry, as listed in the Alexandria database.

Unit cell a=7.194 b=7.194 c=7.194 alpha=81.20 beta=81.20 gamma=81.20
Fractional coordinates of all 19 atoms:
Ag: 0.339 0.857 0.339
Ag: 0.000 0.696 0.304
Ag: 0.661 0.143 0.661
Li: 0.000 0.500 0.000
Ag: 0.661 0.661 0.143
Ag: 0.000 0.304 0.696
Li: 0.500 0.000 0.000
Li: 0.092 0.092 0.092
Sm: 0.642 0.642 0.642
Sm: 0.358 0.358 0.358
Ag: 0.857 0.339 0.339
Ag: 0.304 0.696 0.000
Li: 0.908 0.908 0.908
Ag: 0.696 0.000 0.304
Ag: 0.696 0.304 0.000
Ag: 0.304 0.000 0.696
Li: 0.000 0.000 0.500
Ag: 0.143 0.661 0.661
Ag: 0.339 0.339 0.857

Calculated values
space-group type = R-3m (166)
density = 7.5 Mg/m³
N(E_F) = 0.442 states/eV per atom
ΔH_f (0 K) = -0.18 eV per atom
calculated volume = 18.97 Å³ per atom

---

# 6
First-principles (PBE) data for crystalline Li2SmAg4 at its relaxed geometry, as listed in the Alexandria database.

Unit cell a=5.723 b=5.279 c=5.723 alpha=117.21 beta=102.12 gamma=62.79
Fractional coordinates of all 7 atoms:
Ag: 0.392 0.304 0.000
Ag: 0.000 0.696 0.392
Li: 0.499 0.751 0.501
Sm: 0.000 0.000 0.000
Ag: 0.608 0.696 0.000
Li: 0.501 0.249 0.499
Ag: 0.000 0.304 0.608

Calculated values
space-group type = C2/m (12)
density = 7.2 Mg/m³
N(E_F) = 0.550 states/eV per atom
ΔH_f (0 K) = -0.24 eV per atom
calculated volume = 19.53 Å³ per atom

---

# 7
First-principles (PBE) data for crystalline Li2Sm3Ag6 at its relaxed geometry, as listed in the Alexandria database.

Unit cell a=4.513 b=4.513 c=12.537 alpha=100.37 beta=100.37 gamma=90.00
Fractional coordinates of all 11 atoms:
Sm: 0.803 0.803 0.606
Sm: 0.197 0.197 0.394
Li: 0.553 0.553 0.106
Ag: 0.101 0.601 0.201
Ag: 0.601 0.101 0.201
Li: 0.447 0.447 0.894
Ag: 0.899 0.399 0.799
Sm: 0.000 0.000 0.000
Ag: 0.399 0.899 0.799
Ag: 0.323 0.323 0.646
Ag: 0.677 0.677 0.354

Calculated values
space-group type = I4/mmm (139)
density = 7.5 Mg/m³
N(E_F) = 0.649 states/eV per atom
ΔH_f (0 K) = -0.14 eV per atom
calculated volume = 22.45 Å³ per atom

---

# 8
First-principles (PBE) data for crystalline Li6SmAg6 at its relaxed geometry, as listed in the Alexandria database.

Unit cell a=5.575 b=7.176 c=7.176 alpha=76.67 beta=67.14 gamma=67.14
Fractional coordinates of all 13 atoms:
Li: 0.288 0.212 0.212
Li: 0.000 0.346 0.654
Li: 0.712 0.788 0.788
Sm: 0.000 0.000 0.000
Ag: 0.500 0.000 0.500
Ag: 0.500 0.798 0.202
Ag: 0.000 0.500 0.000
Li: 0.000 0.654 0.346
Li: 0.642 0.358 0.358
Ag: 0.000 0.000 0.500
Li: 0.358 0.642 0.642
Ag: 0.500 0.500 0.000
Ag: 0.500 0.202 0.798

Calculated values
space-group type = Immm (71)
density = 5.7 Mg/m³
N(E_F) = 0.437 states/eV per atom
ΔH_f (0 K) = -0.16 eV per atom
calculated volume = 18.67 Å³ per atom

---

# 9
First-principles (PBE) data for crystalline LiSm2Ag6 at its relaxed geometry, as listed in the Alexandria database.

Unit cell a=5.633 b=6.255 c=6.255 alpha=60.02 beta=90.02 gamma=90.02
Fractional coordinates of all 9 atoms:
Li: 0.000 0.000 0.000
Sm: 0.829 0.667 0.667
Ag: 0.688 0.644 0.178
Ag: 0.312 0.822 0.356
Ag: 0.688 0.178 0.178
Sm: 0.171 0.333 0.333
Ag: 0.312 0.356 0.822
Ag: 0.688 0.178 0.644
Ag: 0.312 0.822 0.822

Calculated values
space-group type = P-3m1 (164)
density = 8.3 Mg/m³
N(E_F) = 0.535 states/eV per atom
ΔH_f (0 K) = -0.17 eV per atom
calculated volume = 21.21 Å³ per atom

---

# 10
First-principles (PBE) data for crystalline Li5SmAg4 at its relaxed geometry, as listed in the Alexandria database.

Unit cell a=3.298 b=3.298 c=16.452 alpha=90.00 beta=90.00 gamma=90.00
Fractional coordinates of all 10 atoms:
Ag: 0.000 0.000 0.776
Li: 0.500 0.500 0.141
Li: 0.500 0.500 0.317
Li: 0.500 0.500 0.500
Ag: 0.000 0.000 0.592
Ag: 0.000 0.000 0.408
Ag: 0.000 0.000 0.224
Sm: 0.000 0.000 0.000
Li: 0.500 0.500 0.683
Li: 0.500 0.500 0.859

Calculated values
space-group type = P4/mmm (123)
density = 5.7 Mg/m³
N(E_F) = 0.346 states/eV per atom
ΔH_f (0 K) = -0.14 eV per atom
calculated volume = 17.89 Å³ per atom

---

# 11
First-principles (PBE) data for crystalline Li3SmAg4 at its relaxed geometry, as listed in the Alexandria database.

Unit cell a=4.576 b=4.576 c=8.854 alpha=75.02 beta=75.02 gamma=60.00
Fractional coordinates of all 8 atoms:
Ag: 0.127 0.127 0.618
Ag: 0.398 0.398 0.806
Ag: 0.873 0.873 0.382
Sm: 0.000 0.000 0.000
Li: 0.761 0.761 0.716
Li: 0.500 0.500 0.500
Ag: 0.602 0.602 0.194
Li: 0.239 0.239 0.284

Calculated values
space-group type = R-3m (166)
density = 6.5 Mg/m³
N(E_F) = 0.401 states/eV per atom
ΔH_f (0 K) = -0.20 eV per atom
calculated volume = 19.15 Å³ per atom

---

# 12
First-principles (PBE) data for crystalline Li12SmAg6 at its relaxed geometry, as listed in the Alexandria database.

Unit cell a=7.357 b=7.357 c=7.357 alpha=101.84 beta=101.84 gamma=101.84
Fractional coordinates of all 19 atoms:
Li: 0.500 0.890 0.110
Li: 0.890 0.500 0.110
Li: 0.500 0.110 0.890
Li: 0.829 0.557 0.557
Li: 0.890 0.110 0.500
Ag: 0.766 0.261 0.766
Li: 0.557 0.829 0.557
Sm: 0.000 0.000 0.000
Ag: 0.261 0.766 0.766
Li: 0.110 0.890 0.500
Li: 0.110 0.500 0.890
Ag: 0.234 0.739 0.234
Li: 0.171 0.443 0.443
Li: 0.443 0.443 0.171
Li: 0.443 0.171 0.443
Li: 0.557 0.557 0.829
Ag: 0.234 0.234 0.739
Ag: 0.739 0.234 0.234
Ag: 0.766 0.766 0.261

Calculated values
space-group type = R-3m (166)
density = 4.0 Mg/m³
N(E_F) = 0.422 states/eV per atom
ΔH_f (0 K) = -0.06 eV per atom
calculated volume = 19.39 Å³ per atom